Entry from Alexandria via LeMat-Bulk: TiBe8Pd3 after structural relaxation (GGA-PBE).

Cell: 4.423 4.423 7.264 Å, 90.00 90.00 120.00°
Sites, in units of the cell vectors:
Ti  0.000  0.000  0.000
Be  0.164  0.329  0.685
Be  0.164  0.836  0.685
Be  0.333  0.667  0.446
Be  0.333  0.667  0.940
Be  0.500  0.001  0.200
Be  0.500  0.500  0.200
Be  0.671  0.836  0.685
Be  0.999  0.500  0.200
Pd  0.000  0.000  0.360
Pd  0.667  0.333  0.514
Pd  0.667  0.333  0.903

Calculated values
**V**: 10.25 Å³ per atom
**Energy of formation from the pure elements**: -4.9 eV per formula unit
**Space group**: P3m1, No. 156

***

Entry from Alexandria via LeMat-Bulk: ThRuBr after structural relaxation (GGA-PBE).

Cell: 4.207 4.208 11.448 Å, 92.10 100.57 113.44°
Sites, in units of the cell vectors:
Th  0.000  0.000  0.000
Th  0.209  0.115  0.326
Ru  0.447  0.716  0.163
Ru  0.798  0.364  0.163
Br  0.540  0.284  0.822
Br  0.976  0.525  0.504

Calculated values
**V**: 30.24 Å³ per atom
**Energy relative to the elements, uncorrected**: -2.734 eV per formula unit
**Space group**: P1, No. 1

***

Entry from Alexandria via LeMat-Bulk: CsBr3N after structural relaxation (GGA-PBE).

Cell: 5.065 5.065 5.065 Å, 90.00 90.00 90.00°
Sites, in units of the cell vectors:
Cs  0.000  0.000  0.000
Br  0.000  0.500  0.500
Br  0.500  0.000  0.500
Br  0.500  0.500  0.000
N  0.500  0.500  0.500

Calculated values
**V**: 25.98 Å³ per atom
**Distance to the lowest polymorph of the same formula**: 0.00 eV per formula unit
**Energy relative to the elements, uncorrected**: 0.958 eV per formula unit
**Space group**: Pm-3m, No. 221

***

Entry from Alexandria via LeMat-Bulk: GaBS2N after structural relaxation (GGA-PBE).

Cell: 4.839 4.839 3.757 Å, 90.00 90.00 90.00°
Sites, in units of the cell vectors:
Ga  0.000  0.000  0.000
B  0.500  0.500  0.500
S  0.000  0.500  0.000
S  0.500  0.000  0.000
N  0.000  0.000  0.500

Calculated values
**V**: 17.59 Å³ per atom
**Distance to the lowest polymorph of the same formula**: 6.79 eV per formula unit
**Energy relative to the elements, uncorrected**: 8.077 eV per formula unit
**Space group**: P4/mmm, No. 123

***

> V of number 3 (CsBr3N)?

25.98 Å³ per atom

***

> The highest V belongs to which entry?

ThRuBr